Compound: BaAgMo2O8
Source: Alexandria via LeMat-Bulk
Functional: PBE with a Hubbard U
Structure: relaxed

```
12
Lattice="-3.9391 3.9391 3.5802 3.9391 -3.9391 3.5802 3.9391 3.9391 -3.5802" Properties=species:S:1:pos:R:3 pbc="T T T"
Ba 0.0000 0.0000 0.0000
Ag 3.9391 0.0000 1.7901
Mo 0.0000 0.0000 3.5802
Mo 0.0000 3.9391 1.7901
O 2.4991 3.9391 -1.0901
O 1.4400 0.0000 2.4902
O 0.0000 2.5220 0.6936
O 3.9391 2.4991 1.0901
O 0.0000 5.3562 0.6936
O 0.0000 1.4400 4.6703
O -1.4171 3.9391 2.8866
O 1.4171 3.9391 2.8866
```

Space-group type: I-4m2
DFT total energy, eV per atom: -6.41
N(E_F), states/eV per cell: 14.01
ρ, g cm⁻³: 4.2